AcSm2Sn | Alexandria via LeMat-Bulk | PBE | relaxed; SG = Cmcm
1.0
4.429 -0.001 0.000
-2.216 6.436 0.000
0.000 0.000 9.812
Sn Ac Sm
2 2 4
direct
0.235 0.470 0.250
0.765 0.530 0.750
0.943 0.887 0.250
0.057 0.113 0.750
0.642 0.285 0.455
0.358 0.715 0.545
0.358 0.715 0.955
0.642 0.285 0.045


MgSnPt2 | Alexandria via LeMat-Bulk | PBE | relaxed; SG = I-42d
1.0
7.294 0.000 0.000
0.000 7.294 0.000
3.647 3.647 2.881
Pt Sn Mg
4 2 2
direct
0.875 0.873 0.750
0.375 0.377 0.750
0.623 0.125 0.250
0.127 0.625 0.250
0.000 0.000 0.000
0.750 0.250 0.500
0.500 0.500 0.000
0.250 0.750 0.500


Number 1: E_tot -37.99 eV/cell. Number 2: E_tot -37.93 eV/cell.